Entry 1:
VASP calculation (PBE-GGA) on crystalline Na4AlCd2In at its relaxed geometry.

VASP energy = -1.7395 eV/atom

Geometry as POSCAR:
```
Na4AlCd2In
1.0
5.069 0.000 0.000
0.000 5.069 0.000
0.000 0.000 7.179
Al Na In Cd
1 4 1 2
Direct
0.500 0.500 0.000 Al
0.500 0.500 0.500 Na
0.000 0.000 0.000 Na
0.500 0.000 0.245 Na
0.000 0.500 0.755 Na
0.000 0.000 0.500 In
0.000 0.500 0.235 Cd
0.500 0.000 0.765 Cd
```

Entry 2:
VASP calculation (PBE-GGA) on crystalline AlCdInS4 at its relaxed geometry.

VASP energy = -4.0958 eV/atom
Excess energy over the best structure of this formula in the dataset = 0.63 eV/f.u.

Geometry as POSCAR:
```
AlCdInS4
1.0
7.547 0.000 0.000
0.000 7.547 0.000
0.000 0.000 10.614
S In Cd Al
16 4 4 4
Direct
0.755 0.992 0.498 S
0.245 0.992 0.502 S
0.246 0.494 0.496 S
0.246 0.506 0.004 S
0.494 0.754 0.246 S
0.992 0.245 0.248 S
0.506 0.246 0.746 S
0.506 0.754 0.754 S
0.245 0.008 0.998 S
0.008 0.245 0.752 S
0.754 0.506 0.996 S
0.008 0.755 0.748 S
0.754 0.494 0.504 S
0.494 0.246 0.254 S
0.755 0.008 0.002 S
0.992 0.755 0.252 S
0.738 0.000 0.250 In
0.000 0.738 0.500 In
0.000 0.262 0.000 In
0.262 0.000 0.750 In
0.500 0.261 0.000 Cd
0.739 0.500 0.250 Cd
0.261 0.500 0.750 Cd
0.500 0.739 0.500 Cd
0.242 0.242 0.375 Al
0.242 0.758 0.125 Al
0.758 0.758 0.875 Al
0.758 0.242 0.625 Al
```

Entry 3:
VASP calculation (PBE-GGA) on crystalline AlCdInS4 at its relaxed geometry.

VASP energy = -4.1855 eV/atom
Excess energy over the best structure of this formula in the dataset = 0.00 eV/f.u.

Geometry as POSCAR:
```
AlCdInS4
1.0
-6.471 0.709 3.823
-2.386 -6.584 -2.818
4.312 -5.091 8.242
In S Al Cd
4 16 4 4
Direct
0.500 0.763 0.500 In
0.237 0.500 0.750 In
0.500 0.237 0.000 In
0.763 0.500 0.250 In
0.985 0.767 0.270 S
0.234 0.536 0.502 S
0.233 0.985 0.520 S
0.766 0.536 0.498 S
0.464 0.766 0.748 S
0.015 0.233 0.770 S
0.464 0.234 0.752 S
0.985 0.233 0.230 S
0.015 0.767 0.730 S
0.234 0.464 0.998 S
0.767 0.015 0.020 S
0.536 0.234 0.248 S
0.536 0.766 0.252 S
0.767 0.985 0.480 S
0.766 0.464 0.002 S
0.233 0.015 0.980 S
0.000 0.238 0.000 Al
0.238 0.000 0.750 Al
0.762 0.000 0.250 Al
0.000 0.762 0.500 Al
0.748 0.252 0.625 Cd
0.748 0.748 0.875 Cd
0.252 0.748 0.125 Cd
0.252 0.252 0.375 Cd
```

Entry 4:
VASP calculation (PBE-GGA) on crystalline AlCdInS4 at its relaxed geometry.

VASP energy = -4.1303 eV/atom
Excess energy over the best structure of this formula in the dataset = 0.39 eV/f.u.

Geometry as POSCAR:
```
AlCdInS4
1.0
-1.888 -4.487 -5.822
-3.686 -4.623 4.758
-8.794 5.546 -1.423
Cd S In Al
4 16 4 4
Direct
0.251 0.000 0.250 Cd
0.000 0.749 0.000 Cd
0.000 0.251 0.500 Cd
0.749 0.000 0.750 Cd
0.270 0.521 0.019 S
0.270 0.479 0.481 S
0.479 0.270 0.269 S
0.029 0.269 0.244 S
0.731 0.029 0.494 S
0.521 0.270 0.731 S
0.730 0.521 0.981 S
0.269 0.971 0.994 S
0.521 0.730 0.769 S
0.971 0.269 0.756 S
0.479 0.730 0.231 S
0.731 0.971 0.006 S
0.971 0.731 0.744 S
0.029 0.731 0.256 S
0.269 0.029 0.506 S
0.730 0.479 0.519 S
0.256 0.256 0.875 In
0.744 0.256 0.125 In
0.256 0.744 0.625 In
0.744 0.744 0.375 In
0.500 0.252 0.500 Al
0.500 0.748 0.000 Al
0.252 0.500 0.250 Al
0.748 0.500 0.750 Al
```

Entry 5:
VASP calculation (PBE-GGA) on crystalline Sc2AlCd2In at its relaxed geometry.

VASP energy = -3.6266 eV/atom

Geometry as POSCAR:
```
Sc2AlCd2In
1.0
11.388 0.000 0.000
0.000 4.650 0.000
-3.795 0.000 10.738
Sc Al In Cd
8 4 4 8
Direct
0.248 0.000 0.494 Sc
0.000 0.000 0.750 Sc
0.876 0.500 0.381 Sc
0.119 0.500 0.118 Sc
0.505 0.000 0.255 Sc
0.746 0.000 0.001 Sc
0.626 0.500 0.626 Sc
0.379 0.500 0.875 Sc
0.873 0.500 0.874 Al
0.502 0.000 0.751 Al
0.752 0.000 0.503 Al
0.999 0.000 0.247 Al
0.627 0.500 0.127 In
0.375 0.500 0.376 In
0.125 0.500 0.623 In
0.247 0.000 0.998 In
0.758 0.000 0.258 Cd
0.257 0.000 0.748 Cd
0.506 0.000 0.507 Cd
0.626 0.500 0.871 Cd
0.871 0.500 0.628 Cd
0.117 0.500 0.365 Cd
0.375 0.500 0.126 Cd
0.991 0.000 0.997 Cd
```

Entry 6:
VASP calculation (PBE-GGA) on crystalline AlCdInSe4 at its relaxed geometry.

VASP energy = -3.7030 eV/atom
Excess energy over the best structure of this formula in the dataset = 0.00 eV/f.u.

Geometry as POSCAR:
```
AlCdInSe4
1.0
7.950 0.000 0.000
0.000 7.950 0.000
0.000 0.000 11.250
Cd Al Se In
4 4 16 4
Direct
0.749 0.749 0.875 Cd
0.251 0.251 0.375 Cd
0.749 0.251 0.625 Cd
0.251 0.749 0.125 Cd
0.000 0.760 0.500 Al
0.000 0.240 0.000 Al
0.760 0.000 0.250 Al
0.240 0.000 0.750 Al
0.986 0.235 0.230 Se
0.765 0.014 0.020 Se
0.533 0.235 0.246 Se
0.765 0.533 0.496 Se
0.533 0.765 0.254 Se
0.765 0.467 0.004 Se
0.014 0.235 0.770 Se
0.765 0.986 0.480 Se
0.986 0.765 0.270 Se
0.235 0.467 0.996 Se
0.235 0.533 0.504 Se
0.014 0.765 0.730 Se
0.235 0.014 0.980 Se
0.467 0.765 0.746 Se
0.235 0.986 0.520 Se
0.467 0.235 0.754 Se
0.761 0.500 0.250 In
0.500 0.761 0.500 In
0.239 0.500 0.750 In
0.500 0.239 0.000 In
```

Entry 7:
VASP calculation (PBE-GGA) on crystalline AlCdInSe4 at its relaxed geometry.

VASP energy = -3.6203 eV/atom
Excess energy over the best structure of this formula in the dataset = 0.58 eV/f.u.

Geometry as POSCAR:
```
AlCdInSe4
1.0
7.961 0.000 0.000
0.000 7.961 0.000
0.000 0.000 11.214
Se In Cd Al
16 4 4 4
Direct
0.746 0.510 0.997 Se
0.003 0.251 0.752 Se
0.997 0.749 0.252 Se
0.254 0.490 0.497 Se
0.749 0.997 0.498 Se
0.490 0.746 0.247 Se
0.003 0.749 0.748 Se
0.251 0.003 0.998 Se
0.510 0.746 0.753 Se
0.749 0.003 0.002 Se
0.254 0.510 0.003 Se
0.490 0.254 0.253 Se
0.997 0.251 0.248 Se
0.251 0.997 0.502 Se
0.510 0.254 0.747 Se
0.746 0.490 0.503 Se
0.500 0.237 0.500 In
0.500 0.763 0.000 In
0.237 0.500 0.250 In
0.763 0.500 0.750 In
0.000 0.757 0.000 Cd
0.757 0.000 0.750 Cd
0.243 0.000 0.250 Cd
0.000 0.243 0.500 Cd
0.257 0.743 0.625 Al
0.743 0.257 0.125 Al
0.743 0.743 0.375 Al
0.257 0.257 0.875 Al
```

Entry 8:
VASP calculation (PBE-GGA) on crystalline AlCdInSe4 at its relaxed geometry.

VASP energy = -3.6568 eV/atom
Excess energy over the best structure of this formula in the dataset = 0.32 eV/f.u.

Geometry as POSCAR:
```
AlCdInSe4
1.0
8.017 0.000 0.000
0.000 8.017 0.000
0.000 0.000 11.090
Se Al In Cd
16 4 4 4
Direct
0.973 0.266 0.753 Se
0.734 0.973 0.003 Se
0.733 0.524 0.982 Se
0.733 0.476 0.518 Se
0.267 0.476 0.482 Se
0.476 0.733 0.232 Se
0.524 0.267 0.732 Se
0.476 0.267 0.268 Se
0.973 0.734 0.747 Se
0.267 0.524 0.018 Se
0.027 0.734 0.253 Se
0.027 0.266 0.247 Se
0.266 0.027 0.503 Se
0.734 0.027 0.497 Se
0.266 0.973 0.997 Se
0.524 0.733 0.768 Se
0.750 0.500 0.750 Al
0.500 0.250 0.500 Al
0.250 0.500 0.250 Al
0.500 0.750 0.000 Al
0.743 0.743 0.375 In
0.257 0.257 0.875 In
0.257 0.743 0.625 In
0.743 0.257 0.125 In
0.751 0.000 0.750 Cd
0.000 0.249 0.500 Cd
0.249 0.000 0.250 Cd
0.000 0.751 0.000 Cd
```

Entry 9:
VASP calculation (PBE-GGA) on crystalline AlCdInTe2Se2 at its relaxed geometry.

VASP energy = -3.4997 eV/atom
Excess energy over the best structure of this formula in the dataset = 0.02 eV/f.u.

Geometry as POSCAR:
```
AlCdInTe2Se2
1.0
4.239 -5.938 0.000
4.239 5.938 0.000
-4.190 0.000 4.353
In Al Te Se Cd
1 1 2 2 1
Direct
0.757 0.243 0.000 In
0.991 0.009 0.500 Al
0.933 0.666 0.032 Te
0.334 0.067 0.968 Te
0.624 0.885 0.470 Se
0.115 0.376 0.530 Se
0.496 0.504 0.500 Cd
```

Entry 10:
VASP calculation (PBE-GGA) on crystalline AlCdInTe2Se2 at its relaxed geometry.

VASP energy = -3.5027 eV/atom
Excess energy over the best structure of this formula in the dataset = 0.00 eV/f.u.

Geometry as POSCAR:
```
AlCdInTe2Se2
1.0
6.032 0.000 0.000
-0.007 6.072 0.000
-2.947 -2.937 5.970
Cd Se Te Al In
1 2 2 1 1
Direct
0.500 0.484 0.001 Cd
0.917 0.378 0.255 Se
0.126 0.087 0.745 Se
0.339 0.873 0.271 Te
0.602 0.661 0.728 Te
0.000 0.020 0.000 Al
0.766 0.247 0.500 In
```

Entry 11:
VASP calculation (PBE-GGA) on crystalline AlCdInTe4 at its relaxed geometry.

VASP energy = -3.2763 eV/atom
Excess energy over the best structure of this formula in the dataset = 0.00 eV/f.u.

Geometry as POSCAR:
```
AlCdInTe4
1.0
-6.734 -2.998 1.947
-3.062 4.186 5.588
2.892 1.957 -6.777
Cd Te In Al
1 4 1 1
Direct
0.000 0.000 0.000 Cd
0.892 0.842 0.470 Te
0.158 0.628 0.050 Te
0.372 0.422 0.530 Te
0.578 0.108 0.950 Te
0.750 0.250 0.500 In
0.500 0.500 0.000 Al
```

Entry 12:
VASP calculation (PBE-GGA) on crystalline AlCdInTe4 at its relaxed geometry.

VASP energy = -3.1549 eV/atom
Excess energy over the best structure of this formula in the dataset = 0.85 eV/f.u.

Geometry as POSCAR:
```
AlCdInTe4
1.0
-5.271 -2.780 6.405
2.516 -8.242 -1.506
8.736 1.253 7.734
Te Al In Cd
16 4 4 4
Direct
0.973 0.763 0.264 Te
0.472 0.237 0.747 Te
0.763 0.973 0.486 Te
0.237 0.027 0.986 Te
0.237 0.973 0.514 Te
0.763 0.027 0.014 Te
0.763 0.472 0.997 Te
0.528 0.237 0.253 Te
0.472 0.763 0.753 Te
0.237 0.528 0.497 Te
0.027 0.763 0.736 Te
0.763 0.528 0.503 Te
0.027 0.237 0.764 Te
0.528 0.763 0.247 Te
0.973 0.237 0.236 Te
0.237 0.472 0.003 Te
0.749 0.000 0.250 Al
0.251 0.000 0.750 Al
0.000 0.251 0.000 Al
0.000 0.749 0.500 Al
0.755 0.755 0.875 In
0.245 0.245 0.375 In
0.755 0.245 0.625 In
0.245 0.755 0.125 In
0.500 0.748 0.500 Cd
0.252 0.500 0.750 Cd
0.500 0.252 0.000 Cd
0.748 0.500 0.250 Cd
```

Entry 13:
VASP calculation (PBE-GGA) on crystalline AlCdIr at its relaxed geometry.

VASP energy = -4.6401 eV/atom

Geometry as POSCAR:
```
AlCdIr
1.0
0.000 3.073 3.073
3.073 0.000 3.073
3.073 3.073 0.000
Al Cd Ir
1 1 1
Direct
0.250 0.250 0.250 Al
0.750 0.750 0.750 Cd
0.000 0.000 0.000 Ir
```

Entry 14:
VASP calculation (PBE-GGA) on crystalline AlCd2Ir at its relaxed geometry.

VASP energy = -3.5978 eV/atom

Geometry as POSCAR:
```
AlCd2Ir
1.0
0.446 -1.647 4.260
1.453 2.743 3.380
-2.911 1.327 3.290
Cd Ir Al
2 1 1
Direct
0.000 0.000 0.000 Cd
0.750 0.750 0.750 Cd
0.250 0.250 0.250 Ir
0.500 0.500 0.500 Al
```

Entry 15:
VASP calculation (PBE-GGA) on crystalline Li4Al2CdIr at its relaxed geometry.

VASP energy = -3.4541 eV/atom

Geometry as POSCAR:
```
Li4Al2CdIr
1.0
-0.440 2.514 -3.541
-4.318 -0.637 0.084
-0.669 5.018 3.646
Li Al Ir Cd
4 2 1 1
Direct
0.000 0.500 0.260 Li
0.000 0.000 0.500 Li
0.500 0.500 0.000 Li
0.500 0.000 0.740 Li
0.000 0.500 0.706 Al
0.500 0.000 0.294 Al
0.500 0.500 0.500 Ir
0.000 0.000 0.000 Cd
```

Entry 16:
VASP calculation (PBE-GGA) on crystalline Li2MgAl2CdIr2 at its relaxed geometry.

VASP energy = -4.3992 eV/atom

Geometry as POSCAR:
```
Li2MgAl2CdIr2
1.0
-1.714 -3.379 2.223
-1.492 -1.716 -3.759
5.325 -3.146 -0.677
Li Al Mg Cd Ir
2 2 1 1 2
Direct
0.000 0.500 0.250 Li
0.500 0.000 0.750 Li
0.000 0.000 0.500 Al
0.500 0.500 0.000 Al
0.500 0.500 0.500 Mg
0.000 0.000 0.000 Cd
0.500 0.000 0.259 Ir
0.000 0.500 0.741 Ir
```

Entry 17:
VASP calculation (PBE-GGA) on crystalline KAlCd at its relaxed geometry.

VASP energy = -1.5305 eV/atom
Excess energy over the best structure of this formula in the dataset = 0.00 eV/f.u.

Geometry as POSCAR:
```
KAlCd
1.0
-5.005 -0.829 -1.224
-3.714 0.683 3.601
-3.295 4.029 -0.381
K Cd Al
1 1 1
Direct
0.750 0.750 0.750 K
0.000 0.000 0.000 Cd
0.250 0.250 0.250 Al
```

Entry 18:
VASP calculation (PBE-GGA) on crystalline LaAlCdNi at its relaxed geometry.

VASP energy = -4.2242 eV/atom
Excess energy over the best structure of this formula in the dataset = 0.11 eV/f.u.

Geometry as POSCAR:
```
LaAlCdNi
1.0
7.624 0.000 0.000
0.000 2.163 5.001
0.000 -2.163 5.001
La Ni Al Cd
2 2 2 2
Direct
0.000 0.437 0.437 La
0.500 0.554 0.554 La
0.000 0.737 0.737 Ni
0.500 0.296 0.296 Ni
0.691 0.840 0.840 Al
0.309 0.840 0.840 Al
0.199 0.147 0.147 Cd
0.801 0.147 0.147 Cd
```